Material: KBe2Re
Method: DFT, SCAN
State: single point on PBEsol structure

Calculated values
Total moment (Bohr magnetons per cell): 4.24
VASP energy (eV/cell): -165.83
Excess energy over the best structure of this formula in the dataset (meV per atom): 0

abc: 4.6964 4.6964 8.4918
angles: 106.05 106.05 90.00
Fractional positions:
Re 0.0000 0.0000 0.0000
Re 0.2500 0.7500 0.5000
K 0.5000 0.5000 0.0000
K 0.7500 0.2500 0.5000
Be 0.6250 0.8750 0.7500
Be 0.1250 0.8750 0.7500
Be 0.1250 0.8750 0.2500
Be 0.1250 0.3750 0.2500